# Be2SbCl, relaxed, DFT GGA-PBE
# Formation energy from raw total energies = 0.671 eV/atom
# Distance to the lowest polymorph of the same formula = 827 meV/atom
# M_tot = 0.00 μB/f.u.
# Volume = 17.2 Å³/atom
data_Be2SbCl
_chemical_formula_sum 'Be8 Sb4 Cl4'
_cell_length_a 6.507
_cell_length_b 6.507
_cell_length_c 6.507
_cell_angle_alpha 90.00
_cell_angle_beta 90.00
_cell_angle_gamma 90.00
_space_group_name_H-M_alt 'F m -3 m'
_space_group_IT_number 225
_space_group_name_Hall '-F 4 2 3'
loop_
_atom_site_label
_atom_site_type_symbol
_atom_site_fract_x
_atom_site_fract_y
_atom_site_fract_z
Be1 Be 0.250 0.250 0.250
Sb1 Sb 0.000 0.000 0.000
Cl1 Cl 0.000 0.000 0.500